Model w:
A geometry-optimized DyBe structure, computed with PBE.

Geometry as POSCAR:
```
DyBe
1.0
0.000 2.843 2.843
2.843 0.000 2.843
2.843 2.843 0.000
Dy Be
1 1
direct
0.000 0.000 0.000
0.500 0.500 0.500
```

---

Model x:
A geometry-optimized DyBe structure, computed with PBE.

Geometry as POSCAR:
```
DyBe
1.0
0.000 3.088 3.088
3.088 0.000 3.088
3.088 3.088 0.000
Dy Be
1 1
direct
0.000 0.000 0.000
0.250 0.250 0.250
```

---

Energies relative to the minimum, kJ/mol of atoms: model w 0.0; model x 70.0

---

Model w:
A geometry-optimized DyBePO structure, computed with PBE.

Geometry as POSCAR:
```
DyBePO
1.0
3.744 0.000 0.000
0.000 3.744 0.000
0.000 0.000 8.341
Dy Be P O
2 2 2 2
direct
0.250 0.250 0.140
0.750 0.750 0.860
0.250 0.750 0.500
0.750 0.250 0.500
0.250 0.250 0.649
0.750 0.750 0.351
0.250 0.750 0.000
0.750 0.250 0.000
```

---

Model x:
A geometry-optimized DyBePO structure, computed with PBE.

Geometry as POSCAR:
```
DyBePO
1.0
3.105 0.000 0.000
0.000 5.637 0.000
0.000 0.000 6.565
Dy Be P O
2 2 2 2
direct
0.000 0.219 0.000
0.000 0.781 0.500
0.500 0.266 0.378
0.500 0.734 0.878
0.500 0.405 0.683
0.500 0.595 0.183
0.000 0.131 0.338
0.000 0.869 0.838
```

---

Model y:
A geometry-optimized DyBePO structure, computed with PBE.

Geometry as POSCAR:
```
DyBePO
1.0
4.114 0.000 0.000
0.000 5.837 0.000
0.000 0.000 5.432
Dy Be P O
2 2 2 2
direct
0.000 0.248 0.000
0.000 0.752 0.500
0.500 0.385 0.620
0.500 0.615 0.120
0.000 0.231 0.508
0.000 0.769 0.008
0.500 0.387 0.935
0.500 0.613 0.435
```

---

Energies relative to the minimum, kJ/mol of atoms: model w 0.0; model x 31.7; model y 3.5